# LiV2Pt3 | Alexandria via LeMat-Bulk | PBE | relaxed
# Energy relative to the elements in eV/f.u.: -3.5
# DOS(E_F) in states/eV/atom: 0.581
# E_tot in eV for the cell shown: -41.7
data_LiV2Pt3
_chemical_formula_sum 'Li1 V2 Pt3'
_symmetry_space_group_name_H-M 'P 4/m m m'
_symmetry_Int_Tables_number 123
_symmetry_space_group_name_Hall '-P 4 2'
_cell_length_a 2.759
_cell_length_b 2.759
_cell_length_c 11.082
_cell_angle_alpha 90.00
_cell_angle_beta 90.00
_cell_angle_gamma 90.00
loop_
_atom_site_label
_atom_site_type_symbol
_atom_site_fract_x
_atom_site_fract_y
_atom_site_fract_z
_atom_site_occupancy
Li1 Li 0.000 0.000 0.000 1
V1 V 0.000 0.000 0.326 1
Pt1 Pt 0.500 0.500 0.164 1
Pt2 Pt 0.500 0.500 0.500 1